one.
Below is a relaxed structure of PrErCd, with properties calculated at the PBE-GGA level.

Values from the calculation:
The space group is P3m1, No. 156. For the density of states at the Fermi level, the calculation gives 4.386 states/eV/f.u. The total magnetization comes out at 0.000 μB/cell.

Geometry as CIF:
```
data_PrErCd
_chemical_formula_sum 'Pr1 Er1 Cd1'
_cell_length_a 3.701
_cell_length_b 5.294
_cell_length_c 5.294
_cell_angle_alpha 120.00
_cell_angle_beta 90.00
_cell_angle_gamma 90.00
_symmetry_space_group_name_H-M 'P 1'
_symmetry_Int_Tables_number 1
loop_
_symmetry_equiv_pos_as_xyz
'x,y,z'
loop_
_atom_site_label
_atom_site_type_symbol
_atom_site_fract_x
_atom_site_fract_y
_atom_site_fract_z
_atom_site_occupancy
Pr1 Pr 0.643 0.667 0.333 1
Er1 Er 0.094 0.000 0.000 1
Cd1 Cd 0.263 0.333 0.667 1
```

=====

two.
Below is a relaxed structure of PrErCd, with properties calculated at the PBE-GGA level.

Values from the calculation:
The space group is P1, No. 1. For the density of states at the Fermi level, the calculation gives 3.264 states/eV/f.u. The total magnetization comes out at 0.000 μB/cell.

Geometry as CIF:
```
data_PrErCd
_chemical_formula_sum 'Pr4 Er4 Cd4'
_cell_length_a 9.201
_cell_length_b 6.465
_cell_length_c 6.419
_cell_angle_alpha 86.67
_cell_angle_beta 69.90
_cell_angle_gamma 83.56
_symmetry_space_group_name_H-M 'P 1'
_symmetry_Int_Tables_number 1
loop_
_symmetry_equiv_pos_as_xyz
'x,y,z'
loop_
_atom_site_label
_atom_site_type_symbol
_atom_site_fract_x
_atom_site_fract_y
_atom_site_fract_z
_atom_site_occupancy
Er1 Er 0.437 0.419 0.129 1
Er2 Er 0.504 0.914 0.143 1
Er3 Er 0.115 0.705 0.071 1
Er4 Er 0.874 0.976 0.775 1
Pr1 Pr 0.493 0.732 0.663 1
Pr2 Pr 0.791 0.428 0.137 1
Pr3 Pr 0.229 0.253 0.716 1
Pr4 Pr 0.111 0.184 0.278 1
Cd1 Cd 0.188 0.720 0.518 1
Cd2 Cd 0.603 0.220 0.654 1
Cd3 Cd 0.866 0.519 0.609 1
Cd4 Cd 0.797 0.930 0.307 1
```

=====

Stability check: which of them is least stable? one.

=====

one.
Below is a relaxed structure of PrErCd, with properties calculated at the PBE-GGA level.

Values from the calculation:
The space group is I4mm, No. 107. For the density of states at the Fermi level, the calculation gives 3.583 states/eV/f.u. The total magnetization comes out at 0.593 μB/cell.

Geometry as CIF:
```
data_PrErCd
_chemical_formula_sum 'Pr1 Er1 Cd1'
_cell_length_a 3.678
_cell_length_b 3.678
_cell_length_c 7.039
_cell_angle_alpha 105.15
_cell_angle_beta 105.15
_cell_angle_gamma 90.00
_symmetry_space_group_name_H-M 'P 1'
_symmetry_Int_Tables_number 1
loop_
_symmetry_equiv_pos_as_xyz
'x,y,z'
loop_
_atom_site_label
_atom_site_type_symbol
_atom_site_fract_x
_atom_site_fract_y
_atom_site_fract_z
_atom_site_occupancy
Er1 Er 0.318 0.318 0.637 1
Cd1 Cd 0.675 0.675 0.350 1
Pr1 Pr 0.006 0.006 0.013 1
```

=====

two.
Below is a relaxed structure of PrErCd, with properties calculated at the PBE-GGA level.

Values from the calculation:
The space group is Cm, No. 8. For the density of states at the Fermi level, the calculation gives 3.936 states/eV/f.u. The total magnetization comes out at 0.006 μB/cell.

Geometry as CIF:
```
data_PrErCd
_chemical_formula_sum 'Pr2 Er2 Cd2'
_cell_length_a 3.553
_cell_length_b 3.496
_cell_length_c 14.510
_cell_angle_alpha 96.92
_cell_angle_beta 89.98
_cell_angle_gamma 90.00
_symmetry_space_group_name_H-M 'P 1'
_symmetry_Int_Tables_number 1
loop_
_symmetry_equiv_pos_as_xyz
'x,y,z'
loop_
_atom_site_label
_atom_site_type_symbol
_atom_site_fract_x
_atom_site_fract_y
_atom_site_fract_z
_atom_site_occupancy
Er1 Er 0.559 0.414 0.828 1
Er2 Er 0.059 0.831 0.661 1
Pr1 Pr 0.560 0.565 0.131 1
Pr2 Pr 0.560 0.723 0.445 1
Cd1 Cd 0.061 0.145 0.289 1
Cd2 Cd 0.059 0.985 0.970 1
```

=====

three.
Below is a relaxed structure of PrErCd, with properties calculated at the PBE-GGA level.

Values from the calculation:
The space group is I-4m2, No. 119. For the density of states at the Fermi level, the calculation gives 4.929 states/eV/f.u. The total magnetization comes out at 0.009 μB/cell.

Geometry as CIF:
```
data_PrErCd
_chemical_formula_sum 'Pr1 Er1 Cd1'
_cell_length_a 5.226
_cell_length_b 5.226
_cell_length_c 5.226
_cell_angle_alpha 89.80
_cell_angle_beta 120.13
_cell_angle_gamma 120.11
_symmetry_space_group_name_H-M 'P 1'
_symmetry_Int_Tables_number 1
loop_
_symmetry_equiv_pos_as_xyz
'x,y,z'
loop_
_atom_site_label
_atom_site_type_symbol
_atom_site_fract_x
_atom_site_fract_y
_atom_site_fract_z
_atom_site_occupancy
Cd1 Cd 0.444 0.222 0.667 1
Er1 Er 0.944 0.472 0.417 1
Pr1 Pr 0.944 0.972 0.917 1
```

=====

Stability check: which of them is least stable? three.

=====

one.
Below is a relaxed structure of PrErCd2, with properties calculated at the PBE-GGA level.

Values from the calculation:
The space group is Fm-3m, No. 225. For the density of states at the Fermi level, the calculation gives 4.264 states/eV/f.u. The total magnetization comes out at 0.503 μB/cell.

Geometry as CIF:
```
data_PrErCd2
_chemical_formula_sum 'Pr1 Er1 Cd2'
_cell_length_a 5.380
_cell_length_b 5.380
_cell_length_c 5.380
_cell_angle_alpha 60.00
_cell_angle_beta 60.00
_cell_angle_gamma 60.00
_symmetry_space_group_name_H-M 'P 1'
_symmetry_Int_Tables_number 1
loop_
_symmetry_equiv_pos_as_xyz
'x,y,z'
loop_
_atom_site_label
_atom_site_type_symbol
_atom_site_fract_x
_atom_site_fract_y
_atom_site_fract_z
_atom_site_occupancy
Er1 Er 0.000 0.000 0.000 1
Pr1 Pr 0.500 0.500 0.500 1
Cd1 Cd 0.250 0.250 0.250 1
Cd2 Cd 0.750 0.750 0.750 1
```

=====

two.
Below is a relaxed structure of PrErCd2, with properties calculated at the PBE-GGA level.

Values from the calculation:
The space group is P4/mmm, No. 123. For the density of states at the Fermi level, the calculation gives 3.940 states/eV/f.u. The total magnetization comes out at 0.488 μB/cell.

Geometry as CIF:
```
data_PrErCd2
_chemical_formula_sum 'Pr1 Er1 Cd2'
_cell_length_a 3.740
_cell_length_b 3.740
_cell_length_c 7.837
_cell_angle_alpha 90.00
_cell_angle_beta 90.00
_cell_angle_gamma 90.00
_symmetry_space_group_name_H-M 'P 1'
_symmetry_Int_Tables_number 1
loop_
_symmetry_equiv_pos_as_xyz
'x,y,z'
loop_
_atom_site_label
_atom_site_type_symbol
_atom_site_fract_x
_atom_site_fract_y
_atom_site_fract_z
_atom_site_occupancy
Er1 Er 0.500 0.500 0.000 1
Cd1 Cd 0.000 0.000 0.228 1
Cd2 Cd 0.000 0.000 0.772 1
Pr1 Pr 0.500 0.500 0.500 1
```

=====

Stability check: which of them is least stable? one.